Compound: BaHgTe2
Source: the Alexandria database
Functional: PBE
Structure: optimized geometry

Total magnetic moment: 0.000 μB/atom
Energy relative to the elements, uncorrected: -344 kJ/mol of formula units

Cell and atoms, written as POSCAR:
```
BaHgTe2
1.0
-2.5212 0.6121 -6.7062
-4.2951 -3.2390 -4.7713
-3.8298 2.8128 2.0872
Ba Te Hg
1 2 1
Direct
0.4894 0.4894 0.5416
0.0244 0.0244 0.0471
0.7800 0.7800 0.5879
0.2061 0.2061 0.3234
```